VASP calculation (PBE-GGA) on an optimized crystal structure of TbThMgHg.

Structure (POSCAR):
```
TbThMgHg
1.0
5.3763 0.0000 0.0000
2.6882 4.6560 0.0000
2.6882 1.5520 4.3898
Mg Tb Hg Th
1 1 1 1
Direct
0.0000 0.0000 0.0000 Mg
0.2500 0.2500 0.2500 Tb
0.5000 0.5000 0.5000 Hg
0.7500 0.7500 0.7500 Th
```

Computed properties:
**Total magnetic moment**: 0.00 μB per formula unit
**Volume**: 27.471 Å³/atom
**Energy of formation**: -0.1233 eV per atom
**ρ**: 9.3 Mg/m³
**Symmetry**: F-43m, No. 216

***

VASP calculation (PBE-GGA) on an optimized crystal structure of Tb2ThMgHg4.

Structure (POSCAR):
```
Tb2ThMgHg4
1.0
5.1296 0.0000 0.0000
2.5648 4.4424 0.0000
2.5648 1.4808 9.0237
Tb Th Mg Hg
2 1 1 4
Direct
0.7573 0.7573 0.7281 Tb
0.2427 0.2427 0.2719 Tb
0.0000 0.0000 0.0000 Th
0.5000 0.5000 0.5000 Mg
0.3797 0.3797 0.8609 Hg
0.8726 0.8726 0.3822 Hg
0.1274 0.1274 0.6178 Hg
0.6203 0.6203 0.1391 Hg
```

Computed properties:
**Total magnetic moment**: 0.00 μB per formula unit
**Volume**: 25.704 Å³/atom
**Energy of formation**: -0.3665 eV per atom
**ρ**: 11.1 Mg/m³
**Symmetry**: R-3m, No. 166

***

VASP calculation (PBE-GGA) on an optimized crystal structure of TbThMg2Hg4.

Structure (POSCAR):
```
TbThMg2Hg4
1.0
5.1224 0.0000 0.0000
2.5612 4.4361 0.0000
2.5612 1.4787 8.5080
Tb Th Mg Hg
1 1 2 4
Direct
0.5000 0.5000 0.5000 Tb
0.0000 0.0000 0.0000 Th
0.7509 0.7509 0.7472 Mg
0.2491 0.2491 0.2528 Mg
0.3794 0.3794 0.8618 Hg
0.8732 0.8732 0.3805 Hg
0.1268 0.1268 0.6195 Hg
0.6206 0.6206 0.1382 Hg
```

Computed properties:
**Total magnetic moment**: 0.00 μB per formula unit
**Volume**: 24.166 Å³/atom
**Energy of formation**: -0.3791 eV per atom
**ρ**: 10.7 Mg/m³
**Symmetry**: R-3m, No. 166

***

VASP calculation (PBE-GGA) on an optimized crystal structure of TbTmMg2Hg4.

Structure (POSCAR):
```
TbTmMg2Hg4
1.0
-4.0847 -2.0254 -2.1813
-0.5659 -5.0206 -0.1338
-5.5480 -2.0912 6.4755
Tb Tm Mg Hg
1 1 2 4
Direct
0.0000 0.0000 0.0000 Tb
0.5000 0.5000 0.5000 Tm
0.7502 0.7502 0.7494 Mg
0.2498 0.2498 0.2506 Mg
0.3767 0.3767 0.8698 Hg
0.8741 0.8741 0.3777 Hg
0.1259 0.1259 0.6223 Hg
0.6233 0.6233 0.1302 Hg
```

Computed properties:
**Total magnetic moment**: 0.00 μB per formula unit
**Volume**: 22.899 Å³/atom
**Energy of formation**: -0.4527 eV per atom
**ρ**: 10.7 Mg/m³
**Symmetry**: R-3m, No. 166

***

VASP calculation (PBE-GGA) on an optimized crystal structure of TbTm2MgHg4.

Structure (POSCAR):
```
TbTm2MgHg4
1.0
-0.0284 -4.4653 -2.5087
2.1919 -4.1282 2.0946
-6.6652 -4.9030 3.5739
Tb Tm Mg Hg
1 2 1 4
Direct
0.0000 0.0000 0.0000 Tb
0.7544 0.7544 0.7368 Tm
0.2456 0.2456 0.2632 Tm
0.5000 0.5000 0.5000 Mg
0.3752 0.3752 0.8744 Hg
0.8747 0.8747 0.3759 Hg
0.1253 0.1253 0.6241 Hg
0.6248 0.6248 0.1256 Hg
```

Computed properties:
**Total magnetic moment**: 0.00 μB per formula unit
**Volume**: 24.179 Å³/atom
**Energy of formation**: -0.4508 eV per atom
**ρ**: 11.4 Mg/m³
**Symmetry**: R-3m, No. 166

***

VASP calculation (PBE-GGA) on an optimized crystal structure of Tb2TmMgHg4.

Structure (POSCAR):
```
Tb2TmMgHg4
1.0
5.1513 0.0000 0.0000
2.5756 4.4611 0.0000
2.5756 1.4870 8.5201
Tb Tm Mg Hg
2 1 1 4
Direct
0.7543 0.7543 0.7372 Tb
0.2457 0.2457 0.2628 Tb
0.0000 0.0000 0.0000 Tm
0.5000 0.5000 0.5000 Mg
0.3727 0.3727 0.8820 Hg
0.8758 0.8758 0.3725 Hg
0.1242 0.1242 0.6275 Hg
0.6273 0.6273 0.1180 Hg
```

Computed properties:
**Total magnetic moment**: 0.00 μB per formula unit
**Volume**: 24.475 Å³/atom
**Energy of formation**: -0.4740 eV per atom
**ρ**: 11.1 Mg/m³
**Symmetry**: R-3m, No. 166